# 1
VASP calculation (PBE) on LiNbW2 after structural relaxation.

Cell lengths 7.0964, 7.0964, 5.2226 Å; angles 90.00, 90.00, 90.00 degrees
Sites, in units of the cell vectors:
Li  0.0000  0.0000  0.0000
Li  0.0000  0.5000  0.2500
Li  0.5000  0.0000  0.7500
Li  0.5000  0.5000  0.5000
Nb  0.0000  0.0000  0.5000
Nb  0.0000  0.5000  0.7500
Nb  0.5000  0.0000  0.2500
Nb  0.5000  0.5000  0.0000
W  0.2277  0.2500  0.1250
W  0.2500  0.7277  0.3750
W  0.2500  0.7723  0.8750
W  0.2723  0.2500  0.6250
W  0.7277  0.7500  0.6250
W  0.7500  0.2277  0.8750
W  0.7500  0.2723  0.3750
W  0.7723  0.7500  0.1250

Values from the calculation:
E_tot in eV/cell: -135.51
Symmetry: I-42d, No. 122
Crystal system: tetragonal
Volume in Å³/cell: 263.01


# 2
VASP calculation (PBE) on CaMnSe after structural relaxation.

Cell lengths 4.2560, 4.2560, 4.0984 Å; angles 90.00, 90.00, 120.00 degrees
Sites, in units of the cell vectors:
Ca  0.0000  0.0000  0.0000
Mn  0.6667  0.3333  0.5000
Se  0.3333  0.6667  0.5000

Values from the calculation:
E_tot in eV/cell: -16.33
Symmetry: P-6m2, No. 187
Crystal system: hexagonal
Volume in Å³/cell: 64.29
ΔE_f (raw) in kcal/mol of atoms: -12.86


# 3
VASP calculation (PBE) on ReAgRh2 after structural relaxation.

Cell lengths 3.9637, 3.9637, 7.6001 Å; angles 90.00, 90.00, 90.00 degrees
Sites, in units of the cell vectors:
Re  0.0000  0.0000  0.0000
Re  0.5000  0.5000  0.5000
Ag  0.0000  0.0000  0.5000
Ag  0.5000  0.5000  0.0000
Rh  0.0000  0.5000  0.2500
Rh  0.0000  0.5000  0.7500
Rh  0.5000  0.0000  0.2500
Rh  0.5000  0.0000  0.7500

Values from the calculation:
E_tot in eV/cell: -57.75
Symmetry: I4/mmm, No. 139
Crystal system: tetragonal
Volume in Å³/cell: 119.40


# 4
VASP calculation (PBE) on VIn2Cl6 after structural relaxation.

Cell lengths 6.9493, 6.9493, 6.9493 Å; angles 60.00, 60.00, 60.00 degrees
Sites, in units of the cell vectors:
V  0.0000  0.0000  0.0000
In  0.2500  0.2500  0.2500
In  0.7500  0.7500  0.7500
Cl  0.2361  0.2361  0.7639
Cl  0.2361  0.7639  0.2361
Cl  0.2361  0.7639  0.7639
Cl  0.7639  0.2361  0.2361
Cl  0.7639  0.2361  0.7639
Cl  0.7639  0.7639  0.2361

Values from the calculation:
E_tot in eV/cell: -34.76
Symmetry: Fm-3m, No. 225
Crystal system: cubic
Volume in Å³/cell: 237.31
ΔE_f (raw) in kcal/mol of atoms: -23.28


# 5
VASP calculation (PBE) on Sb2RhPb after structural relaxation.

Cell lengths 4.8033, 4.8033, 8.1659 Å; angles 90.00, 90.00, 90.00 degrees
Sites, in units of the cell vectors:
Sb  0.0000  0.5000  0.2500
Sb  0.0000  0.5000  0.7500
Sb  0.5000  0.0000  0.2500
Sb  0.5000  0.0000  0.7500
Rh  0.0000  0.0000  0.0000
Rh  0.5000  0.5000  0.5000
Pb  0.0000  0.0000  0.5000
Pb  0.5000  0.5000  0.0000

Values from the calculation:
E_tot in eV/cell: -36.82
Symmetry: I4/mmm, No. 139
Crystal system: tetragonal
Volume in Å³/cell: 188.40
ΔE_f (raw) in kcal/mol of atoms: 5.17


# 6
VASP calculation (PBE) on KP2Se after structural relaxation.

Cell lengths 4.0814, 4.0814, 10.2082 Å; angles 90.00, 90.00, 90.00 degrees
Sites, in units of the cell vectors:
K  0.0000  0.0000  0.0000
K  0.5000  0.5000  0.5000
P  0.0000  0.5000  0.2500
P  0.0000  0.5000  0.7500
P  0.5000  0.0000  0.2500
P  0.5000  0.0000  0.7500
Se  0.0000  0.0000  0.5000
Se  0.5000  0.5000  0.0000

Values from the calculation:
E_tot in eV/cell: -26.87
Symmetry: I4/mmm, No. 139
Crystal system: tetragonal
Volume in Å³/cell: 170.05
ΔE_f (raw) in kcal/mol of atoms: 11.34


# 7
VASP calculation (PBE) on MnW2Se after structural relaxation.

Cell lengths 3.1138, 4.5776, 8.7864 Å; angles 90.00, 90.00, 90.00 degrees
Sites, in units of the cell vectors:
Mn  0.0000  0.0000  0.0000
Mn  0.5000  0.5000  0.0000
W  0.0000  0.5000  0.2295
W  0.0000  0.5000  0.7705
W  0.5000  0.0000  0.2295
W  0.5000  0.0000  0.7705
Se  0.0000  0.0000  0.5000
Se  0.5000  0.5000  0.5000

Values from the calculation:
E_tot in eV/cell: -72.36
Symmetry: Cmmm, No. 65
Crystal system: orthorhombic
Volume in Å³/cell: 125.24
ΔE_f (raw) in kcal/mol of atoms: 13.71


# 8
VASP calculation (PBE) on Pm3HoAg after structural relaxation.

Cell lengths 7.1644, 7.1644, 7.9058 Å; angles 114.85, 114.85, 73.00 degrees
Sites, in units of the cell vectors:
Pm  0.0485  0.0485  0.3047
Pm  0.1126  0.5282  0.3089
Pm  0.4718  0.8874  0.6911
Pm  0.5282  0.1126  0.3089
Pm  0.8874  0.4718  0.6911
Pm  0.9515  0.9515  0.6953
Ho  0.4236  0.4236  0.7385
Ho  0.5764  0.5764  0.2615
Ag  0.2713  0.2713  0.9505
Ag  0.7287  0.7287  0.0495

Values from the calculation:
E_tot in eV/cell: -42.82
Symmetry: C2/m, No. 12
Crystal system: monoclinic
Volume in Å³/cell: 330.81


Table of size of the total moment (μB per formula unit), in record order: 0.0 3.2 0.0 1.0 0.0 0.0 1.4 0.0
Table of D(E_F) (states/eV/f.u.), in record order: 1.94 2.06 3.65 6.02 2.20 2.79 3.80 6.62